A relaxed LiFeTe3 crystal, computed with PBE-GGA.

```
LiFeTe3
1.0
5.119 0.000 0.000
0.000 5.119 0.000
0.000 0.000 5.119
Li Te Fe
1 3 1
Cartesian
2.559 2.559 2.559
0.000 0.000 2.559
2.559 0.000 0.000
0.000 2.559 0.000
0.000 0.000 0.000
```

Raw formation energy in eV per atom: 0.22
V in Å³ per atom: 26.83
Space-group type: Pm-3m (221)

---

A relaxed CaGaSb2 crystal, computed with PBE-GGA.

```
CaGaSb2
1.0
-0.992 -3.447 -2.954
2.506 -3.005 2.664
-3.886 -1.024 2.501
Sb Ca Ga
2 1 1
Cartesian
1.253 -1.502 1.332
-1.943 -0.512 1.250
-1.186 -3.738 1.105
-0.496 -1.723 -1.477
```

Raw formation energy in eV per atom: -0.42
V in Å³ per atom: 26.03
Space-group type: P4/mmm (123)

---

A relaxed YTlCoSn2 crystal, computed with PBE-GGA.

```
YTlCoSn2
1.0
4.930 0.000 0.000
0.000 4.930 0.000
0.000 0.000 5.131
Co Sn Tl Y
1 2 1 1
Cartesian
0.000 0.000 0.000
2.465 0.000 0.000
0.000 2.465 0.000
2.465 2.465 2.565
0.000 0.000 2.565
```

Calculated formation energy in eV/atom: -0.179
V in Å³ per atom: 24.94
Space-group type: P4/mmm (123)

---

A relaxed Tb6H3C2N crystal, computed with PBE-GGA.

```
Tb6H3C2N
1.0
-0.698 -5.398 2.948
2.954 0.202 -5.436
4.258 2.588 3.583
H N C Tb
3 1 2 6
Cartesian
3.257 -1.304 0.548
2.052 -3.152 3.315
4.462 0.544 -2.220
0.000 0.000 0.000
1.736 -1.665 -2.641
0.520 -3.531 0.153
2.129 0.264 -1.164
4.385 -2.872 2.259
5.593 -1.020 -0.513
2.656 -3.283 -1.036
3.859 0.674 2.131
0.921 -1.588 1.609
```

V in Å³ per atom: 15.98
Total energy in eV/atom: -6.03
Space-group type: C2/m (12)

---

A relaxed Ba5DyHg6 crystal, computed with PBE-GGA.

```
Ba5DyHg6
1.0
5.505 -0.032 1.848
0.043 8.246 0.014
0.009 -0.016 9.219
Hg Ba Dy
6 5 1
Cartesian
4.675 1.893 4.403
0.882 6.305 6.678
2.786 6.403 0.935
2.762 1.811 0.927
0.859 1.909 6.670
4.698 6.289 4.411
1.850 4.107 3.733
1.830 -0.016 3.721
3.707 4.091 7.348
0.022 4.123 0.007
3.684 -0.032 7.345
0.000 0.000 0.000
```

Calculated formation energy in eV/atom: -0.475
V in Å³ per atom: 34.86
Space-group type: P2/m (10)

---

A relaxed InNi2AuS crystal, computed with PBE-GGA.

```
InNi2AuS
1.0
4.203 0.000 0.000
0.000 5.095 0.000
0.000 0.000 4.203
Ni Au S In
2 1 1 1
Cartesian
0.000 0.000 2.102
2.102 0.000 0.000
0.000 2.548 0.000
0.000 0.000 0.000
2.102 2.548 2.102
```

Raw formation energy in eV per atom: 0.12
V in Å³ per atom: 18.00
Space-group type: P4/mmm (123)

---

A relaxed K2TaRh crystal, computed with PBE-GGA.

```
K2TaRh
1.0
-0.285 3.100 -10.259
-1.388 -1.926 -10.455
-1.513 0.437 10.605
K Rh Ta
2 1 1
Cartesian
-0.666 0.467 -8.246
-0.171 0.120 -2.111
-1.869 -0.452 -5.104
-1.318 2.061 -5.006
```

Calculated formation energy in eV/atom: 0.429
V in Å³ per atom: 33.83
Space-group type: Immm (71)

---

A relaxed Sr3In9Ag2 crystal, computed with PBE-GGA.

```
Sr3In9Ag2
1.0
-3.681 0.599 3.237
4.042 2.699 7.864
-1.094 9.142 0.830
In Sr Ag
9 3 2
Cartesian
0.799 9.569 10.437
-1.532 2.872 1.493
-2.380 9.505 6.834
1.647 2.936 5.097
-0.143 1.130 3.395
-0.575 5.724 2.053
1.474 5.921 4.347
-0.157 6.717 9.878
-0.590 11.311 8.535
0.957 8.465 7.055
-1.690 3.976 4.876
0.000 0.000 0.000
-1.272 7.357 4.725
0.540 5.084 7.206
```

Calculated formation energy in eV/atom: -0.325
V in Å³ per atom: 27.03
Space-group type: Immm (71)

---

A relaxed NaSr2LiBr6 crystal, computed with PBE-GGA.

```
NaSr2LiBr6
1.0
-0.619 -3.788 -6.457
3.316 -6.698 -0.759
-4.670 -6.514 -0.101
Br Sr Na Li
6 2 1 1
Cartesian
-2.187 -8.268 -1.086
1.858 -8.808 -2.121
-0.824 -5.270 -3.968
-3.643 -8.317 -4.672
0.186 -9.156 -6.616
-1.510 -11.289 -3.407
-0.673 -8.330 -3.788
-4.395 -6.365 -0.215
-0.345 -12.134 -5.957
0.683 -3.614 -2.315
```

Raw formation energy in eV per atom: -1.87
V in Å³ per atom: 32.94
Space-group type: R3 (146)

---

A relaxed YbZrRh2 crystal, computed with PBE-GGA.

```
YbZrRh2
1.0
-0.901 2.834 -3.663
-1.687 -1.804 -4.020
-4.460 0.855 -1.280
Yb Zr Rh
1 1 2
Cartesian
-3.524 0.942 -4.481
0.000 0.000 0.000
-5.286 1.414 -6.722
-1.762 0.471 -2.241
```

Calculated formation energy in eV/atom: -0.678
V in Å³ per atom: 18.56
Space-group type: Fm-3m (225)

---

A relaxed Mg2InAgHg crystal, computed with PBE-GGA.

```
Mg2InAgHg
1.0
4.109 0.000 0.000
0.000 7.074 0.959
0.000 -1.949 7.124
Mg Hg Ag In
4 2 2 2
Cartesian
3.081 4.812 4.621
1.027 0.312 3.461
3.081 2.755 7.353
1.027 2.370 0.729
1.027 4.668 2.511
3.081 0.457 5.572
3.081 2.375 2.927
1.027 2.750 5.156
3.081 0.007 1.190
1.027 5.117 6.893
```

Calculated formation energy in eV/atom: -0.114
V in Å³ per atom: 21.47
Space-group type: P2_1/m (11)